# 1
Entry from the Alexandria database: a relaxed CaTb6Nd6 crystal (PBE).

POSCAR file:
```
CaTb6Nd6
1.0
6.820 0.000 0.000
-3.410 5.906 0.000
0.000 0.000 11.480
Ca Tb Nd
1 6 6
Cartesian
0.000 0.000 0.000
-1.705 2.953 2.868
-1.705 2.953 8.611
3.410 0.000 2.868
3.410 0.000 8.611
1.705 2.953 2.868
1.705 2.953 8.611
0.000 0.000 3.989
0.000 0.000 7.490
0.000 3.938 0.000
0.000 3.938 5.740
3.410 1.969 0.000
3.410 1.969 5.740
```

Summary:
The calculation puts the electronic total energy at -55.14 eV/cell. The calculated formation energy is 0.25 eV/atom. Its crystal system is hexagonal.

=====

# 2
Entry from the Alexandria database: a relaxed VCo crystal (PBE).

POSCAR file:
```
VCo
1.0
-3.436 3.436 3.436
3.436 -3.436 3.436
3.436 3.436 -3.436
V Co
4 4
Cartesian
2.098 2.098 -2.098
2.098 -2.098 2.098
1.338 1.338 1.338
-2.098 2.098 2.098
0.870 0.870 -0.870
0.870 -0.870 0.870
-0.870 0.870 0.870
2.566 2.566 2.566
```

Summary:
The calculation puts the electronic total energy at -54.80 eV/cell. The calculated formation energy is 1.26 eV/atom. Its crystal system is cubic.

=====

# 3
Entry from the Alexandria database: a relaxed CeSm3Tl4Se8 crystal (PBE).

POSCAR file:
```
CeSm3Tl4Se8
1.0
4.296 2.480 7.752
-4.296 2.480 7.752
0.000 -4.960 7.752
Ce Sm Tl Se
1 3 4 8
Cartesian
0.000 0.000 0.000
-2.148 -1.240 7.752
-2.148 1.240 15.505
0.000 2.480 7.752
-4.296 0.000 11.628
-2.148 1.240 3.876
2.148 1.240 3.876
0.000 0.000 11.628
0.000 -2.460 9.370
-2.130 1.230 9.370
0.000 0.000 6.139
-2.130 -1.230 13.887
2.130 1.230 9.370
0.000 0.000 17.118
2.130 -1.230 13.887
0.000 2.460 13.887
```

Summary:
The calculation puts the electronic total energy at -79.31 eV/cell. For the formation energy (no corrections), the calculation gives -1367 meV per atom. Its crystal system is trigonal.